Na3Pa2ReN6: optimized geometry, PBE-GGA.

Properties
Electronic total energy ... -0.580 Ry/atom
Fermi-level density of states ... 5.30 states/eV/f.u.
Formation energy from raw total energies ... -775 meV/atom

Lattice parameters (Å, degrees): 5.871 5.871 6.029 99.07 99.07 120.12
Sites, in units of the cell vectors:
Na 0.154 0.846 0.500
Na 0.846 0.154 0.500
Na 0.500 0.500 0.500
Pa 0.333 0.667 0.000
Pa 0.667 0.333 0.000
Re 0.000 0.000 0.000
N 0.939 0.629 0.812
N 0.745 0.745 0.188
N 0.061 0.371 0.188
N 0.629 0.939 0.812
N 0.255 0.255 0.812
N 0.371 0.061 0.188

=====

NaPaReN4: optimized geometry, PBE-GGA.

Properties
Electronic total energy ... -0.638 Ry/atom
Fermi-level density of states ... 3.63 states/eV/f.u.
Formation energy from raw total energies ... -602 meV/atom

Lattice parameters (Å, degrees): 6.189 5.788 7.165 90.00 90.89 90.00
Sites, in units of the cell vectors:
Na 0.641 0.750 0.877
Na 0.359 0.250 0.123
Pa 0.821 0.750 0.433
Pa 0.179 0.250 0.567
Re 0.317 0.750 0.350
Re 0.683 0.250 0.650
N 0.893 0.491 0.666
N 0.107 0.991 0.334
N 0.107 0.509 0.334
N 0.893 0.009 0.666
N 0.551 0.750 0.198
N 0.449 0.250 0.802
N 0.451 0.750 0.572
N 0.549 0.250 0.428

=====

NaPa2RhN4: optimized geometry, PBE-GGA.

Properties
Electronic total energy ... -0.614 Ry/atom
Fermi-level density of states ... 2.96 states/eV/f.u.
Formation energy from raw total energies ... -730 meV/atom

Lattice parameters (Å, degrees): 5.161 5.161 5.161 105.02 111.74 111.74
Sites, in units of the cell vectors:
Na 0.000 0.000 0.000
Pa 0.500 0.750 0.250
Pa 0.500 0.250 0.750
Rh 0.000 0.500 0.500
N 0.000 0.201 0.682
N 0.519 0.318 0.318
N 0.481 0.799 0.799
N 0.000 0.682 0.201

=====

Na3Pa3RuN8: optimized geometry, PBE-GGA.

Properties
Electronic total energy ... -0.585 Ry/atom
Fermi-level density of states ... 4.42 states/eV/f.u.
Formation energy from raw total energies ... -741 meV/atom

Lattice parameters (Å, degrees): 6.843 6.843 6.942 119.55 90.00 120.00
Sites, in units of the cell vectors:
Na 0.000 0.000 0.000
Na 0.000 0.500 0.000
Na 0.500 0.500 0.000
Pa 0.500 0.000 0.500
Pa 0.500 0.500 0.500
Pa 0.000 0.500 0.500
Ru 0.000 0.000 0.500
N 0.268 0.535 0.303
N 0.732 0.465 0.697
N 0.784 0.569 0.323
N 0.216 0.431 0.677
N 0.784 0.038 0.323
N 0.216 0.962 0.677
N 0.254 0.038 0.323
N 0.746 0.962 0.677

=====

Na3Pa2RuN6: optimized geometry, PBE-GGA.

Properties
Electronic total energy ... -0.552 Ry/atom
Fermi-level density of states ... 4.38 states/eV/f.u.
Formation energy from raw total energies ... -666 meV/atom

Lattice parameters (Å, degrees): 5.866 5.866 6.021 99.01 99.01 120.11
Sites, in units of the cell vectors:
Na 0.154 0.846 0.500
Na 0.846 0.154 0.500
Na 0.500 0.500 0.500
Pa 0.333 0.667 0.000
Pa 0.667 0.333 0.000
Ru 0.000 0.000 0.000
N 0.938 0.621 0.810
N 0.742 0.742 0.190
N 0.062 0.379 0.190
N 0.621 0.938 0.810
N 0.258 0.258 0.810
N 0.379 0.062 0.190

=====

Na3Pa2SbN6: optimized geometry, PBE-GGA.

Properties
Electronic total energy ... -0.521 Ry/atom
Formation energy from raw total energies ... -673 meV/atom

Lattice parameters (Å, degrees): 5.983 5.983 6.111 99.22 99.22 120.05
Sites, in units of the cell vectors:
Na 0.158 0.842 0.500
Na 0.842 0.158 0.500
Na 0.500 0.500 0.500
Pa 0.333 0.667 0.000
Pa 0.667 0.333 0.000
Sb 0.000 0.000 0.000
N 0.936 0.612 0.807
N 0.738 0.738 0.193
N 0.064 0.388 0.193
N 0.612 0.936 0.807
N 0.262 0.262 0.807
N 0.388 0.064 0.193

=====

Which value of formation energy from raw total energies does entry 6 give? -673 meV/atom

=====

What did the fourth record say?
Na3Pa3RuN8: optimized geometry, PBE-GGA.

Properties
Electronic total energy ... -0.585 Ry/atom
Fermi-level density of states ... 4.42 states/eV/f.u.
Formation energy from raw total energies ... -741 meV/atom

Lattice parameters (Å, degrees): 6.843 6.843 6.942 119.55 90.00 120.00
Sites, in units of the cell vectors:
Na 0.000 0.000 0.000
Na 0.000 0.500 0.000
Na 0.500 0.500 0.000
Pa 0.500 0.000 0.500
Pa 0.500 0.500 0.500
Pa 0.000 0.500 0.500
Ru 0.000 0.000 0.500
N 0.268 0.535 0.303
N 0.732 0.465 0.697
N 0.784 0.569 0.323
N 0.216 0.431 0.677
N 0.784 0.038 0.323
N 0.216 0.962 0.677
N 0.254 0.038 0.323
N 0.746 0.962 0.677